Compound: LiCr4In4O12
Source: Alexandria via LeMat-Bulk
Functional: PBE+U
Structure: optimized geometry

Cell: 5.214 5.545 8.140 Å, 90.64 91.02 90.90°
Space group P1 (No. 1)
Unique sites:
1 Li 0.000 0.000 0.000 [1 per cell]
2 Cr 0.125 0.210 0.354 [1 per cell]
3 Cr 0.163 0.259 0.816 [1 per cell]
4 Cr 0.628 0.735 0.849 [1 per cell]
5 Cr 0.629 0.718 0.355 [1 per cell]
6 In 0.101 0.786 0.601 [1 per cell]
7 In 0.162 0.621 0.112 [1 per cell]
8 In 0.571 0.166 0.106 [1 per cell]
9 In 0.670 0.283 0.598 [1 per cell]
10 O 0.285 0.147 0.575 [1 per cell]
11 O 0.330 0.917 0.269 [1 per cell]
12 O 0.337 0.949 0.922 [1 per cell]
13 O 0.422 0.422 0.282 [1 per cell]
14 O 0.431 0.455 0.937 [1 per cell]
15 O 0.495 0.658 0.601 [1 per cell]
16 O 0.776 0.782 0.099 [1 per cell]
17 O 0.834 0.005 0.432 [1 per cell]
18 O 0.839 0.031 0.778 [1 per cell]
19 O 0.926 0.510 0.430 [1 per cell]
20 O 0.927 0.540 0.774 [1 per cell]
21 O 0.970 0.272 0.128 [1 per cell]

Computed properties:
- E: -6.496 eV/atom